P) {
  "formula": "SrAl2Re",
  "functional": "PBE",
  "state": "relaxed",
  "dos_ef_per_ev_atom": 0.63,
  "lattice_angstrom": [[-3.386, -7.946, -4.358], [-0.312, -8.525, -4.563], [-1.880, -9.286, -1.957]],
  "species": ["Al", "Sr", "Re", "Al"],
  "fractional_positions": [[0.517, 0.517, 0.517], [0.750, 0.750, 0.750], [0.250, 0.250, 0.250], [0.983, 0.983, 0.983]]
}

Q) {
  "formula": "SrAl2Re",
  "functional": "PBE",
  "state": "relaxed",
  "dos_ef_per_ev_atom": 0.62,
  "lattice_angstrom": [[6.754, 0.021, 0.071], [-2.796, 4.523, -0.022], [1.162, 0.738, 2.492]],
  "species": ["Sr", "Re", "Al", "Al"],
  "fractional_positions": [[0.500, 0.500, 0.000], [0.000, 0.500, 0.500], [0.500, 0.000, 0.500], [0.000, 0.000, 0.000]]
}

R) {
  "formula": "SrAl2Re",
  "functional": "PBE",
  "state": "relaxed",
  "dos_ef_per_ev_atom": 0.71,
  "lattice_angstrom": [[4.924, -0.040, 0.000], [0.841, 4.852, 0.000], [-2.882, -2.406, 3.186]],
  "species": ["Sr", "Re", "Al", "Al"],
  "fractional_positions": [[0.750, 0.250, 0.500], [0.250, 0.750, 0.500], [0.500, 0.500, 0.000], [0.000, 0.000, 0.000]]
}

Energy comparison, zero being the most stable, in kJ/mol of atoms: P) 0.0; Q) 19.1; R) 2.7.